! BeV2C (PBE, relaxed); values from VASP
&SYSTEM
  ibrav = 0, nat = 4, ntyp = 3
/
ATOMIC_SPECIES
Be 9.01 Be.upf
C 12.01 C.upf
V 50.94 V.upf
CELL_PARAMETERS angstrom
-1.037 -0.555 3.596
-3.235 1.481 1.286
-2.929 -2.258 0.797
ATOMIC_POSITIONS crystal
Be 0.000 0.000 0.000
C 0.500 0.500 0.500
V 0.250 0.250 0.250
V 0.750 0.750 0.750
! Space-group type ... No. 225
! Energy of formation ... 0.4954 eV per atom